Entry 1:
First-principles (PBE) data for crystalline CsSr2CaP at its relaxed geometry, as listed in the Alexandria database.

a = 6.221 Å, b = 6.221 Å, c = 5.875 Å
α = 90.00°, β = 90.00°, γ = 90.00°
Atoms (fractional coordinates):
Ca 0.000 0.000 0.500
Sr 0.500 0.000 0.000
Cs 0.500 0.500 0.500
P 0.000 0.000 0.000
Sr 0.000 0.500 0.000

**DOS(E_F)**: 4.49 states/eV/cell
**Energy of formation from the pure elements**: -0.32 eV per atom
**E_tot**: -13.2 eV/f.u.
**Total magnetic moment**: 0.00 μB/f.u.
**SG**: P4/mmm (123)

Entry 2:
First-principles (PBE) data for crystalline CsCaY2P at its relaxed geometry, as listed in the Alexandria database.

a = 5.790 Å, b = 5.597 Å, c = 5.790 Å
α = 90.00°, β = 90.00°, γ = 90.00°
Atoms (fractional coordinates):
Y 0.000 0.000 0.500
Y 0.500 0.000 0.000
Ca 0.500 0.500 0.500
Cs 0.000 0.000 0.000
P 0.000 0.500 0.000

**DOS(E_F)**: 6.90 states/eV/cell
**Energy of formation from the pure elements**: 1.20 eV per atom
**E_tot**: -15.2 eV/f.u.
**Total magnetic moment**: 0.00 μB/f.u.
**SG**: P4/mmm (123)